*P*
NaH3Se after structural relaxation, computed with GGA-PBE.

Lattice parameters (Å, degrees): 3.795 3.795 3.795 90.00 90.00 90.00
Fractional coordinates of all 5 atoms:
H  0.500  0.000  0.000
H  0.000  0.000  0.500
H  0.000  0.500  0.000
Na  0.000  0.000  0.000
Se  0.500  0.500  0.500


*Q*
NaH3Se after structural relaxation, computed with GGA-PBE.

Lattice parameters (Å, degrees): 3.991 3.991 3.991 90.00 90.00 90.00
Fractional coordinates of all 5 atoms:
H  0.000  0.500  0.000
H  0.500  0.000  0.000
H  0.000  0.000  0.500
Na  0.500  0.500  0.500
Se  0.000  0.000  0.000


Which structure is the most stable? The one labeled *Q*.